VASP calculation (PBE) on BaAc3Zn4 after structural relaxation.

Values from the calculation:
E	-21.09	eV/cell
space-group type	Pmmm (47)

Lattice parameters (Å, degrees): 3.955 5.591 11.181 90.00 90.00 90.00
Element x y z (fractional)
1 Ba 0.000 0.000 0.000
2 Ac 0.000 0.000 0.500
3 Ac 0.000 0.500 0.253
4 Ac 0.000 0.500 0.747
5 Zn 0.500 0.000 0.261
6 Zn 0.500 0.000 0.739
7 Zn 0.500 0.500 0.000
8 Zn 0.500 0.500 0.500